Y4Ga12Pd | meta-GGA SCAN | single point on PBEsol structure

Lattice parameters (Å, degrees): 7.362 7.362 7.362 109.47 109.47 109.47
Atoms (fractional coordinates):
Y 0.500 0.000 0.000
Y 0.000 0.500 0.000
Y 0.500 0.500 0.500
Y 0.000 0.000 0.500
Ga 0.250 0.500 0.750
Ga 0.500 0.750 0.250
Ga 0.500 0.250 0.750
Ga 0.250 0.750 0.500
Ga 0.750 0.250 0.500
Ga 0.750 0.500 0.250
Ga 0.703 0.000 0.703
Ga 0.000 0.297 0.297
Ga 0.000 0.703 0.703
Ga 0.703 0.703 0.000
Ga 0.297 0.297 0.000
Ga 0.297 0.000 0.297
Pd 0.000 0.000 0.000

## Properties
energy of formation from the pure elements: -0.705 eV per atom

Mg7Al22O40 | meta-GGA SCAN | single point on PBEsol structure

Lattice parameters (Å, degrees): 5.687 5.687 23.443 90.20 96.79 119.91
Atoms (fractional coordinates):
Mg 0.253 0.125 0.379
Mg 0.296 0.408 0.704
Mg 0.453 0.719 0.173
Mg 0.750 0.877 0.627
Mg 0.501 0.000 0.501
Mg 0.954 0.470 0.424
Mg 0.154 0.069 0.223
Al 0.645 0.324 0.970
Al 0.836 0.943 0.779
Al 0.010 0.982 0.992
Al 0.597 0.799 0.899
Al 0.184 0.622 0.806
Al 0.042 0.537 0.579
Al 0.100 0.301 0.899
Al 0.789 0.405 0.703
Al 0.297 0.913 0.703
Al 0.556 0.272 0.828
Al 0.397 0.208 0.605
Al 0.993 0.998 0.501
Al 0.603 0.797 0.400
Al 0.503 0.508 0.501
Al 0.204 0.596 0.299
Al 0.804 0.394 0.198
Al 0.703 0.095 0.299
Al 0.703 0.596 0.299
Al 0.406 0.195 0.097
Al 0.902 0.691 0.097
Al 0.903 0.194 0.097
Al 0.357 0.663 0.020
O 0.288 0.165 0.951
O 0.888 0.966 0.855
O 0.787 0.663 0.951
O 0.812 0.138 0.950
O 0.469 0.762 0.753
O 0.390 0.461 0.851
O 0.310 0.635 0.946
O 0.090 0.568 0.658
O 0.991 0.283 0.753
O 0.409 0.938 0.852
O 0.913 0.443 0.852
O 0.998 0.754 0.752
O 0.680 0.355 0.554
O 0.584 0.073 0.657
O 0.592 0.521 0.655
O 0.199 0.875 0.554
O 0.298 0.165 0.463
O 0.501 0.250 0.751
O 0.202 0.351 0.553
O 0.134 0.064 0.655
O 0.867 0.926 0.345
O 0.790 0.663 0.453
O 0.507 0.748 0.255
O 0.796 0.112 0.449
O 0.704 0.840 0.544
O 0.418 0.478 0.345
O 0.338 0.654 0.449
O 0.416 0.929 0.345
O 0.064 0.524 0.143
O 0.986 0.263 0.249
O 0.619 0.079 0.143
O 0.985 0.709 0.249
O 0.897 0.443 0.339
O 0.706 0.344 0.050
O 0.619 0.524 0.143
O 0.540 0.263 0.249
O 0.197 0.851 0.048
O 0.196 0.325 0.050
O 0.098 0.039 0.137
O 0.725 0.854 0.050

## Properties
formation energy without anion corrections: -3.28 eV per atom

Number 1: V 18.1 Å³/atom. Number 2: V 9.4 Å³/atom.